(1)
{"formula": "KMgBe2", "functional": "PBE", "state": "relaxed", "lattice": [[-2.3085, 2.3085, 9.2589], [2.3085, -2.3085, 9.2589], [2.3085, 2.3085, -9.2589]], "species": ["K", "K", "Mg", "Mg", "Be", "Be", "Be", "Be"], "frac_coords": [[0.3750, 0.6250, 0.7500], [0.6250, 0.3750, 0.2500], [0.1250, 0.8750, 0.2500], [0.8750, 0.1250, 0.7500], [0.0000, 0.0000, 0.0000], [0.0000, 0.0000, 0.5000], [0.0000, 0.5000, 0.0000], [0.5000, 0.0000, 0.5000]], "vol_a3_per_atom": 24.672, "e_form_ev_per_atom": 0.767}



(2)
{"formula": "LaIrRh2", "functional": "PBE", "state": "relaxed", "lattice": [[2.9445, -3.9532, 0.0000], [2.9445, 3.9532, 0.0000], [0.0000, 0.0000, 3.0003]], "species": ["La", "Ir", "Rh", "Rh"], "frac_coords": [[0.0000, 0.0000, 0.0000], [0.5000, 0.5000, 0.0000], [0.0000, 0.5000, 0.5000], [0.5000, 0.0000, 0.5000]], "vol_a3_per_atom": 17.462, "e_form_ev_per_atom": -0.197}



(3)
{"formula": "Ag5HgTe4", "functional": "PBE", "state": "relaxed", "lattice": [[4.6873, 0.0000, 0.0000], [0.1887, 6.2150, 0.0000], [0.5904, 0.0018, 9.3416]], "species": ["Ag", "Ag", "Ag", "Ag", "Ag", "Hg", "Te", "Te", "Te", "Te"], "frac_coords": [[0.0000, 0.0000, 0.0000], [0.2559, 0.0007, 0.4054], [0.2666, 0.4882, 0.4032], [0.7334, 0.5118, 0.5968], [0.7441, 0.9993, 0.5946], [0.0000, 0.5000, 0.0000], [0.2264, 0.2503, 0.6697], [0.3825, 0.2389, 0.1418], [0.6175, 0.7611, 0.8582], [0.7736, 0.7497, 0.3303]], "vol_a3_per_atom": 27.213, "e_form_raw_ev_per_atom": -0.03}



(4)
{"formula": "Sr3Sn2Bi2", "functional": "PBE", "state": "relaxed", "lattice": [[6.3817, -2.4004, 0.0000], [6.3817, 2.4004, 0.0000], [-2.3346, 0.0000, 8.2247]], "species": ["Sr", "Sr", "Sr", "Sn", "Sn", "Bi", "Bi"], "frac_coords": [[0.0000, 0.0000, 0.0000], [0.1642, 0.1642, 0.6327], [0.8358, 0.8358, 0.3673], [0.3196, 0.3196, 0.0534], [0.6804, 0.6804, 0.9466], [0.4485, 0.4485, 0.6578], [0.5515, 0.5515, 0.3422]], "vol_a3_per_atom": 35.997, "e_form_ev_per_atom": -0.601}



(5)
{"formula": "CaNd2Pt9", "functional": "PBE", "state": "relaxed", "lattice": [[2.7377, 1.5806, 8.8923], [-2.7377, 1.5806, 8.8923], [0.0000, -3.1612, 8.8923]], "species": ["Ca", "Nd", "Nd", "Pt", "Pt", "Pt", "Pt", "Pt", "Pt", "Pt", "Pt", "Pt"], "frac_coords": [[0.0000, 0.0000, 0.0000], [0.1385, 0.1385, 0.1385], [0.8615, 0.8615, 0.8615], [0.0803, 0.5862, 0.5862], [0.3326, 0.3326, 0.3326], [0.4138, 0.4138, 0.9197], [0.4138, 0.9197, 0.4138], [0.5000, 0.5000, 0.5000], [0.5862, 0.0803, 0.5862], [0.5862, 0.5862, 0.0803], [0.6674, 0.6674, 0.6674], [0.9197, 0.4138, 0.4138]], "vol_a3_per_atom": 19.239, "e_form_ev_per_atom": -0.847}



(6)
{"formula": "Tb3Ce2Sm6Y", "functional": "PBE", "state": "relaxed", "lattice": [[3.1092, -5.3853, 0.0000], [3.1092, 5.3853, 0.0000], [-2.0823, 0.0000, 11.7188]], "species": ["Tb", "Tb", "Tb", "Ce", "Ce", "Sm", "Sm", "Sm", "Sm", "Sm", "Sm", "Y"], "frac_coords": [[0.0000, 0.0000, 0.0000], [0.3338, 0.6662, 0.0000], [0.6662, 0.3338, 0.0000], [0.1666, 0.8334, 0.5000], [0.8334, 0.1666, 0.5000], [0.0802, 0.4164, 0.2509], [0.2474, 0.2474, 0.7495], [0.4164, 0.0802, 0.2509], [0.5836, 0.9198, 0.7491], [0.7526, 0.7526, 0.2505], [0.9198, 0.5836, 0.7491], [0.5000, 0.5000, 0.5000]], "vol_a3_per_atom": 32.703, "e_form_ev_per_atom": 0.053}